Entry 1:
Entry from Alexandria via LeMat-Bulk: crystalline SnAsO4 at its relaxed geometry (PBE).

ΔE_f (raw) = -1.11 eV/atom
Size of the total moment = 0.00 Bohr magnetons per cell

Cell: 5.0271 5.0271 8.8607 Å, 90.00 90.00 90.00°
Closest atoms and distances in Å follow each position.
Space group P-42c (No. 112)
Unique sites:
1 Sn 0.0000 0.0000 0.0000 x2  4 O 2.13
2 As 0.0000 0.5000 0.2500 x2  4 O 1.74
3 O 0.1908 0.2932 0.3644 x8  1 As 1.74

Entry 2:
Entry from Alexandria via LeMat-Bulk: crystalline SnBiS2 at its relaxed geometry (PBE).

ΔE_f (raw) = -0.24 eV/atom
Size of the total moment = 0.00 Bohr magnetons per cell

Cell: 3.8319 5.8478 4.5665 Å, 90.00 90.04 90.00°
Closest atoms and distances in Å follow each position.
Space group Pm (No. 6)
Unique sites:
1 Sn 0.0000 0.0000 0.0000 x1  4 S 2.71-2.93
2 Bi 0.5028 0.5000 0.5037 x1  6 S 2.91-3.05
3 S 0.5008 0.0000 0.4202 x1  2 Sn 2.71, 2 Bi 2.95
4 S 0.9970 0.5000 0.0190 x1  4 Bi 2.91-3.05, 2 Sn 2.93

Entry 3:
Entry from Alexandria via LeMat-Bulk: crystalline Ba3TbBi2O8 at its relaxed geometry (PBE).

ΔE_f (raw) = -2.07 eV/atom
Size of the total moment = 0.95 Bohr magnetons per cell

Cell: 6.3094 6.3094 8.1441 Å, 90.00 90.00 120.00°
Closest atoms and distances in Å follow each position.
Space group P-3m1 (No. 164)
Unique sites:
1 Ba 0.0000 0.0000 0.0000 x1  6 O 3.23
2 Ba 0.3333 0.6667 0.6281 x2  1 O 2.42
3 Tb 0.0000 0.0000 0.5000 x1  6 O 2.25
4 Bi 0.3333 0.6667 0.1933 x2  4 O 2.17-2.19
5 O 0.1633 0.3265 0.3308 x6  1 Bi 2.17, 1 Tb 2.25
6 O 0.3333 0.6667 0.9249 x2  1 Bi 2.19, 1 Ba 2.42

Entry 4:
Entry from Alexandria via LeMat-Bulk: crystalline Al2Ge2Au at its relaxed geometry (PBE).

Relative energy among the computed polymorphs = 0.087 eV/atom
Size of the total moment = 0.00 Bohr magnetons per cell

Cell: 7.7510 7.7510 3.0319 Å, 90.00 90.00 90.00°
Closest atoms and distances in Å follow each position.
Space group P4/mbm (No. 127)
Unique sites:
1 Al 0.1377 0.3623 0.0000 x4  6 Ge 2.68-2.77
2 Ge 0.1603 0.6603 0.5000 x4  6 Al 2.68-2.77, 2 Au 2.91
3 Au 0.0000 0.0000 0.5000 x2  4 Ge 2.91, 2 Au 3.03

What did the third record say?
Entry from Alexandria via LeMat-Bulk: crystalline Ba3TbBi2O8 at its relaxed geometry (PBE).

ΔE_f (raw) = -2.07 eV/atom
Size of the total moment = 0.95 Bohr magnetons per cell

Cell: 6.3094 6.3094 8.1441 Å, 90.00 90.00 120.00°
Closest atoms and distances in Å follow each position.
Space group P-3m1 (No. 164)
Unique sites:
1 Ba 0.0000 0.0000 0.0000 x1  6 O 3.23
2 Ba 0.3333 0.6667 0.6281 x2  1 O 2.42
3 Tb 0.0000 0.0000 0.5000 x1  6 O 2.25
4 Bi 0.3333 0.6667 0.1933 x2  4 O 2.17-2.19
5 O 0.1633 0.3265 0.3308 x6  1 Bi 2.17, 1 Tb 2.25
6 O 0.3333 0.6667 0.9249 x2  1 Bi 2.19, 1 Ba 2.42

Question: Which value of size of the total moment does entry 2 give?
Answer: 0.00 Bohr magnetons per cell

Question: What is the size of the total moment in the fourth record?
Answer: 0.00 Bohr magnetons per cell